{
  "formula": "Dy4AlPt",
  "functional": "GGA-PBE",
  "state": "relaxed",
  "dos_ef_per_ev_cell": 14.8,
  "delta_e_f_ev_per_atom": -0.51,
  "magnetic_moment_mub_per_atom": 0.000,
  "relative_energy_mev_per_atom": 122,
  "lattice_angstrom": [[-3.748, 0.531, -4.407], [6.194, -4.985, -2.810], [-4.597, -3.214, 5.823]],
  "species": ["Dy", "Dy", "Dy", "Dy", "Dy", "Dy", "Dy", "Dy", "Pt", "Pt", "Al", "Al"],
  "frac_coords": [[0.308, 0.636, 0.856], [0.776, 0.700, 0.639], [0.047, 0.220, 0.856], [0.363, 0.939, 0.639], [0.953, 0.780, 0.144], [0.224, 0.300, 0.361], [0.637, 0.061, 0.361], [0.692, 0.364, 0.144], [0.750, 0.000, 0.000], [0.250, 0.000, 0.000], [0.376, 0.626, 0.252], [0.624, 0.374, 0.748]]
}

{
  "formula": "Na3HRh",
  "functional": "GGA-PBE",
  "state": "relaxed",
  "dos_ef_per_ev_cell": 2.1,
  "magnetic_moment_mub_per_atom": 0.185,
  "relative_energy_mev_per_atom": 0,
  "lattice_angstrom": [[-1.050, -0.804, -4.355], [-4.317, -0.810, 1.191], [-0.986, 4.406, -0.576]],
  "species": ["H", "Na", "Na", "Na", "Rh"],
  "frac_coords": [[0.000, 0.000, 0.000], [0.500, 0.000, 0.000], [0.000, 0.000, 0.500], [0.000, 0.500, 0.000], [0.500, 0.500, 0.500]]
}

{
  "formula": "BaNaP2",
  "functional": "GGA-PBE",
  "state": "relaxed",
  "dos_ef_per_ev_cell": 0.8,
  "delta_e_f_ev_per_atom": -0.31,
  "magnetic_moment_mub_per_atom": 0.000,
  "relative_energy_mev_per_atom": 325,
  "lattice_angstrom": [[-1.021, -0.171, -4.806], [-3.944, -2.781, 0.937], [-7.646, 6.126, -1.108]],
  "species": ["Na", "Na", "Ba", "Ba", "P", "P", "P", "P"],
  "frac_coords": [[0.500, 0.500, 0.000], [0.250, 0.750, 0.500], [0.000, 0.000, 0.000], [0.750, 0.250, 0.500], [0.875, 0.728, 0.750], [0.375, 0.522, 0.750], [0.272, 0.625, 0.250], [0.478, 0.125, 0.250]]
}

{
  "formula": "Zn6Ag2Au",
  "functional": "GGA-PBE",
  "state": "relaxed",
  "dos_ef_per_ev_cell": 4.5,
  "delta_e_f_ev_per_atom": -0.04,
  "magnetic_moment_mub_per_atom": 0.000,
  "relative_energy_mev_per_atom": 0,
  "lattice_angstrom": [[-1.724, 3.966, 1.855], [-4.443, -3.195, 6.071], [4.209, 0.130, 7.006]],
  "species": ["Zn", "Zn", "Zn", "Zn", "Zn", "Zn", "Zn", "Zn", "Zn", "Zn", "Zn", "Zn", "Au", "Au", "Ag", "Ag", "Ag", "Ag"],
  "frac_coords": [[0.973, 0.428, 0.676], [0.027, 0.572, 0.324], [0.135, 0.344, 0.084], [0.191, 0.985, 0.236], [0.365, 0.916, 0.656], [0.691, 0.236, 0.985], [0.309, 0.764, 0.015], [0.809, 0.015, 0.764], [0.527, 0.324, 0.572], [0.635, 0.084, 0.344], [0.865, 0.656, 0.916], [0.473, 0.676, 0.428], [0.250, 0.126, 0.874], [0.750, 0.874, 0.126], [0.424, 0.557, 0.787], [0.076, 0.213, 0.443], [0.924, 0.787, 0.557], [0.576, 0.443, 0.213]]
}

{
  "formula": "VGeSCl2",
  "functional": "GGA-PBE",
  "state": "relaxed",
  "dos_ef_per_ev_cell": 3.3,
  "e_form_raw_ev_per_atom": 0.16,
  "magnetic_moment_mub_per_atom": 0.690,
  "relative_energy_mev_per_atom": 470,
  "lattice_angstrom": [[4.915, 0.000, 0.000], [0.000, 4.915, 0.000], [0.000, 0.000, 4.965]],
  "species": ["Cl", "Cl", "V", "Ge", "S"],
  "frac_coords": [[0.000, 0.500, 0.000], [0.500, 0.000, 0.000], [0.500, 0.500, 0.500], [0.000, 0.000, 0.000], [0.000, 0.000, 0.500]]
}

{
  "formula": "NaTaCl6",
  "functional": "GGA-PBE",
  "state": "relaxed",
  "dos_ef_per_ev_cell": 0.0,
  "e_form_raw_ev_per_atom": -1.46,
  "magnetic_moment_mub_per_atom": 0.000,
  "relative_energy_mev_per_atom": 16,
  "lattice_angstrom": [[6.147, -1.642, -1.547], [-3.782, 6.532, -2.318], [0.832, 0.467, 6.849]],
  "species": ["Cl", "Cl", "Cl", "Cl", "Cl", "Cl", "Na", "Ta"],
  "frac_coords": [[0.848, 0.566, 0.721], [0.555, 0.270, 0.000], [0.152, 0.434, 0.279], [0.445, 0.730, 0.000], [0.874, 0.155, 0.721], [0.126, 0.845, 0.279], [0.000, 0.000, 0.000], [0.000, 0.500, 0.000]]
}

{
  "formula": "VTcP",
  "functional": "GGA-PBE",
  "state": "relaxed",
  "dos_ef_per_ev_cell": 16.5,
  "delta_e_f_ev_per_atom": -0.63,
  "magnetic_moment_mub_per_atom": 0.143,
  "relative_energy_mev_per_atom": 0,
  "lattice_angstrom": [[-2.546, 1.880, 5.553], [-5.710, -3.291, -1.503], [6.111, -3.856, 0.428]],
  "species": ["Tc", "Tc", "Tc", "Tc", "Tc", "Tc", "P", "P", "P", "P", "P", "P", "V", "V", "V", "V", "V", "V"],
  "frac_coords": [[0.495, 0.833, 0.740], [0.755, 0.167, 0.260], [0.010, 0.000, 0.000], [0.010, 0.500, 0.000], [0.495, 0.407, 0.740], [0.755, 0.593, 0.260], [0.424, 0.664, 0.335], [0.089, 0.829, 0.665], [0.713, 0.221, 0.942], [0.770, 0.779, 0.058], [0.424, 0.171, 0.335], [0.089, 0.336, 0.665], [0.783, 0.563, 0.626], [0.158, 0.437, 0.374], [0.162, 0.962, 0.423], [0.739, 0.038, 0.577], [0.355, 0.761, 0.022], [0.333, 0.239, 0.978]]
}

{
  "formula": "Pm2YPa2Rh5",
  "functional": "GGA-PBE",
  "state": "relaxed",
  "dos_ef_per_ev_cell": 18.1,
  "delta_e_f_ev_per_atom": -0.66,
  "magnetic_moment_mub_per_atom": 0.000,
  "lattice_angstrom": [[-0.443, 3.600, 0.019], [-10.464, -1.305, 2.970], [2.954, 0.308, 10.545]],
  "species": ["Rh", "Rh", "Rh", "Rh", "Rh", "Rh", "Rh", "Rh", "Rh", "Rh", "Pm", "Pm", "Pm", "Pm", "Pa", "Pa", "Pa", "Pa", "Y", "Y"],
  "frac_coords": [[0.500, 0.292, 0.549], [0.500, 0.049, 0.792], [0.500, 0.000, 0.500], [0.500, 0.792, 0.951], [0.500, 0.451, 0.292], [0.500, 0.708, 0.451], [0.500, 0.208, 0.049], [0.500, 0.500, 0.000], [0.500, 0.951, 0.208], [0.500, 0.549, 0.708], [0.000, 0.173, 0.327], [0.000, 0.827, 0.673], [0.000, 0.327, 0.827], [0.000, 0.673, 0.173], [0.000, 0.864, 0.364], [0.000, 0.636, 0.864], [0.000, 0.136, 0.636], [0.000, 0.364, 0.136], [0.000, 0.500, 0.500], [0.000, 0.000, 0.000]]
}

{
  "formula": "Li2TcHgBr",
  "functional": "GGA-PBE",
  "state": "relaxed",
  "dos_ef_per_ev_cell": 3.6,
  "e_form_raw_ev_per_atom": 0.50,
  "magnetic_moment_mub_per_atom": 0.649,
  "lattice_angstrom": [[4.472, 0.000, 0.000], [0.000, 4.472, 0.000], [0.000, 0.000, 6.346]],
  "species": ["Br", "Tc", "Li", "Li", "Hg"],
  "frac_coords": [[0.000, 0.000, 0.000], [0.500, 0.500, 0.500], [0.500, 0.000, 0.000], [0.000, 0.500, 0.000], [0.000, 0.000, 0.500]]
}

{
  "formula": "La4AgAu",
  "functional": "GGA-PBE",
  "state": "relaxed",
  "dos_ef_per_ev_cell": 15.9,
  "delta_e_f_ev_per_atom": -0.33,
  "magnetic_moment_mub_per_atom": 0.000,
  "relative_energy_mev_per_atom": 0,
  "lattice_angstrom": [[-3.097, 4.915, 3.047], [1.663, -3.089, 6.673], [6.434, 3.923, 0.212]],
  "species": ["La", "La", "La", "La", "La", "La", "La", "La", "Ag", "Ag", "Au", "Au"],
  "frac_coords": [[0.000, 0.163, 0.671], [0.500, 0.671, 0.163], [0.500, 0.837, 0.671], [0.000, 0.837, 0.329], [0.500, 0.163, 0.329], [0.000, 0.329, 0.163], [0.000, 0.671, 0.837], [0.500, 0.329, 0.837], [0.250, 0.500, 0.500], [0.750, 0.500, 0.500], [0.250, 0.000, 0.000], [0.750, 0.000, 0.000]]
}

{
  "formula": "GeSb2Br8",
  "functional": "GGA-PBE",
  "state": "relaxed",
  "dos_ef_per_ev_cell": 0.0,
  "e_form_raw_ev_per_atom": -0.52,
  "magnetic_moment_mub_per_atom": 0.000,
  "relative_energy_mev_per_atom": 9,
  "lattice_angstrom": [[3.779, 0.000, -0.803], [-0.061, 10.464, -0.286], [0.187, 0.472, 10.176]],
  "species": ["Br", "Br", "Br", "Br", "Br", "Br", "Br", "Br", "Sb", "Sb", "Ge"],
  "frac_coords": [[0.998, 0.805, 0.996], [0.759, 0.704, 0.517], [0.401, 0.432, 0.802], [0.241, 0.296, 0.483], [0.359, 0.042, 0.718], [0.599, 0.568, 0.198], [0.641, 0.958, 0.282], [0.002, 0.195, 0.004], [0.849, 0.261, 0.697], [0.151, 0.739, 0.303], [0.500, 0.000, 0.000]]
}

{
  "formula": "TlCrAg",
  "functional": "GGA-PBE",
  "state": "relaxed",
  "dos_ef_per_ev_cell": 1.4,
  "delta_e_f_ev_per_atom": 0.46,
  "magnetic_moment_mub_per_atom": 1.452,
  "relative_energy_mev_per_atom": 0,
  "lattice_angstrom": [[5.258, 0.023, -0.064], [2.721, 4.499, 0.064], [-3.808, -2.582, 2.546]],
  "species": ["Cr", "Ag", "Tl"],
  "frac_coords": [[0.339, 0.339, 0.000], [0.994, 0.994, 0.000], [0.667, 0.667, 0.000]]
}

{
  "formula": "NaCa4Cd",
  "functional": "GGA-PBE",
  "state": "relaxed",
  "dos_ef_per_ev_cell": 5.7,
  "delta_e_f_ev_per_atom": -0.09,
  "magnetic_moment_mub_per_atom": 0.000,
  "relative_energy_mev_per_atom": 0,
  "lattice_angstrom": [[-2.848, 2.644, -0.416], [-0.424, 0.154, 3.882], [9.651, 10.497, 0.638]],
  "species": ["Cd", "Ca", "Ca", "Ca", "Ca", "Na"],
  "frac_coords": [[0.000, 0.000, 0.000], [0.000, 0.000, 0.321], [0.500, 0.500, 0.128], [0.000, 0.000, 0.679], [0.500, 0.500, 0.872], [0.500, 0.500, 0.500]]
}

{
  "formula": "Sr3Ge4Pd7",
  "functional": "GGA-PBE",
  "state": "relaxed",
  "dos_ef_per_ev_cell": 7.0,
  "delta_e_f_ev_per_atom": -0.65,
  "magnetic_moment_mub_per_atom": 0.000,
  "lattice_angstrom": [[4.115, 0.000, 1.038], [1.502, 7.808, 2.720], [0.022, 0.051, 8.585]],
  "species": ["Sr", "Sr", "Sr", "Ge", "Ge", "Ge", "Ge", "Pd", "Pd", "Pd", "Pd", "Pd", "Pd", "Pd"],
  "frac_coords": [[0.000, 0.500, 0.500], [0.671, 0.824, 0.835], [0.329, 0.176, 0.165], [0.665, 0.449, 0.221], [0.887, 0.893, 0.332], [0.335, 0.551, 0.779], [0.113, 0.107, 0.668], [0.306, 0.852, 0.536], [0.505, 0.763, 0.228], [0.495, 0.237, 0.772], [0.167, 0.586, 0.080], [0.000, 0.000, 0.000], [0.833, 0.414, 0.920], [0.694, 0.148, 0.464]]
}

{
  "formula": "Pm2UMn2N6",
  "functional": "GGA-PBE",
  "state": "relaxed",
  "dos_ef_per_ev_cell": 2.5,
  "e_form_raw_ev_per_atom": -0.78,
  "magnetic_moment_mub_per_atom": 0.369,
  "lattice_angstrom": [[-5.645, -0.071, -0.319], [-3.037, -2.347, 4.152], [-3.107, 4.178, 3.939]],
  "species": ["N", "N", "N", "N", "N", "N", "Mn", "Mn", "Pm", "Pm", "U"],
  "frac_coords": [[0.228, 0.749, 0.274], [0.251, 0.251, 0.726], [0.772, 0.251, 0.726], [0.749, 0.228, 0.274], [0.251, 0.772, 0.726], [0.749, 0.749, 0.274], [0.597, 0.597, 0.210], [0.403, 0.403, 0.790], [0.209, 0.209, 0.372], [0.791, 0.791, 0.628], [0.000, 0.000, 0.000]]
}

{
  "formula": "Y4Ho2Mg",
  "functional": "GGA-PBE",
  "state": "relaxed",
  "dos_ef_per_ev_cell": 8.4,
  "delta_e_f_ev_per_atom": 0.14,
  "magnetic_moment_mub_per_atom": 0.000,
  "relative_energy_mev_per_atom": 39,
  "lattice_angstrom": [[-1.157, -3.440, 0.155], [-0.593, -0.067, -5.894], [10.326, -3.325, 3.254]],
  "species": ["Y", "Y", "Y", "Y", "Ho", "Ho", "Mg"],
  "frac_coords": [[0.000, 0.639, 0.197], [0.500, 0.828, 0.752], [0.000, 0.361, 0.803], [0.500, 0.172, 0.248], [0.000, 0.500, 0.500], [0.500, 0.000, 0.500], [0.000, 0.000, 0.000]]
}

{
  "formula": "Li2TeIr",
  "functional": "GGA-PBE",
  "state": "relaxed",
  "dos_ef_per_ev_cell": 1.8,
  "e_form_raw_ev_per_atom": -0.18,
  "magnetic_moment_mub_per_atom": 0.000,
  "lattice_angstrom": [[-1.932, 1.889, -3.748], [-2.820, -0.276, 1.315], [0.469, 4.267, 1.909]],
  "species": ["Te", "Li", "Li", "Ir"],
  "frac_coords": [[0.000, 0.625, 0.501], [0.500, 0.126, 0.266], [0.000, 0.124, 0.974], [0.500, 0.625, 0.758]]
}

{
  "formula": "LiCl2",
  "functional": "GGA-PBE",
  "state": "relaxed",
  "dos_ef_per_ev_cell": 10.2,
  "e_form_raw_ev_per_atom": -0.97,
  "magnetic_moment_mub_per_atom": 0.004,
  "relative_energy_mev_per_atom": 226,
  "lattice_angstrom": [[-3.232, 4.643, 2.499], [-2.208, -5.773, 0.218], [2.127, -0.663, 3.981]],
  "species": ["Cl", "Cl", "Cl", "Cl", "Li", "Li"],
  "frac_coords": [[0.000, 0.000, 0.000], [0.000, 0.000, 0.500], [0.333, 0.667, 0.250], [0.667, 0.333, 0.750], [0.333, 0.667, 0.750], [0.667, 0.333, 0.250]]
}

{
  "formula": "CuPt3",
  "functional": "GGA-PBE",
  "state": "relaxed",
  "dos_ef_per_ev_cell": 7.3,
  "delta_e_f_ev_per_atom": -0.09,
  "magnetic_moment_mub_per_atom": 0.000,
  "lattice_angstrom": [[4.749, -0.018, -0.030], [3.948, 2.640, -0.029], [-9.477, -2.858, 4.791]],
  "species": ["Pt", "Pt", "Pt", "Cu"],
  "frac_coords": [[0.000, 0.000, 0.500], [0.994, 0.994, 0.247], [0.006, 0.006, 0.753], [0.000, 0.000, 0.000]]
}

{
  "formula": "MgZr2Rh",
  "functional": "GGA-PBE",
  "state": "relaxed",
  "dos_ef_per_ev_cell": 4.8,
  "delta_e_f_ev_per_atom": -0.09,
  "magnetic_moment_mub_per_atom": 0.000,
  "relative_energy_mev_per_atom": 316,
  "lattice_angstrom": [[3.011, 0.000, 0.000], [0.000, 5.389, -0.026], [0.000, 3.150, 4.824]],
  "species": ["Zr", "Zr", "Mg", "Rh"],
  "frac_coords": [[0.500, 0.500, 0.000], [0.000, 0.000, 0.000], [0.500, 0.500, 0.500], [0.000, 0.000, 0.500]]
}

{
  "formula": "InGa5Pt3",
  "functional": "GGA-PBE",
  "state": "relaxed",
  "dos_ef_per_ev_cell": 7.0,
  "delta_e_f_ev_per_atom": -0.42,
  "magnetic_moment_mub_per_atom": 0.000,
  "lattice_angstrom": [[7.128, -0.042, 0.552], [1.911, 6.867, 0.552], [3.355, 2.533, 8.514]],
  "species": ["Pt", "Pt", "Pt", "Pt", "Pt", "Pt", "Ga", "Ga", "Ga", "Ga", "Ga", "Ga", "Ga", "Ga", "Ga", "Ga", "In", "In"],
  "frac_coords": [[0.359, 0.359, 0.656], [0.641, 0.641, 0.344], [0.000, 0.000, 0.000], [0.000, 0.000, 0.500], [0.328, 0.328, 0.161], [0.672, 0.672, 0.839], [0.763, 0.763, 0.030], [0.626, 0.055, 0.678], [0.713, 0.287, 0.000], [0.580, 0.580, 0.651], [0.374, 0.945, 0.322], [0.237, 0.237, 0.970], [0.420, 0.420, 0.349], [0.945, 0.374, 0.322], [0.055, 0.626, 0.678], [0.287, 0.713, 0.000], [0.884, 0.884, 0.325], [0.116, 0.116, 0.675]]
}

{
  "formula": "EuLuCuRu",
  "functional": "GGA-PBE",
  "state": "relaxed",
  "dos_ef_per_ev_cell": 10.0,
  "delta_e_f_ev_per_atom": -0.12,
  "magnetic_moment_mub_per_atom": 1.703,
  "lattice_angstrom": [[-0.743, -2.571, 4.066], [-0.987, -4.759, -0.276], [3.309, -3.260, 1.456]],
  "species": ["Ru", "Cu", "Eu", "Lu"],
  "frac_coords": [[0.750, 0.750, 0.750], [0.250, 0.250, 0.250], [0.000, 0.000, 0.000], [0.500, 0.500, 0.500]]
}

{
  "formula": "PuPaB",
  "functional": "GGA-PBE",
  "state": "relaxed",
  "dos_ef_per_ev_cell": 4.2,
  "delta_e_f_ev_per_atom": 0.11,
  "magnetic_moment_mub_per_atom": 2.109,
  "relative_energy_mev_per_atom": 184,
  "lattice_angstrom": [[3.561, 0.000, 0.000], [0.000, 3.561, 0.000], [-1.780, -1.780, 4.226]],
  "species": ["Pa", "Pu", "B"],
  "frac_coords": [[0.275, 0.275, 0.551], [0.956, 0.956, 0.911], [0.619, 0.619, 0.238]]
}